1.
{"formula": "ZrV2Ga2", "functional": "PBE-GGA", "state": "relaxed", "n_ef_per_ev_cell": 9.605, "delta_e_f_kcal_per_mol_atoms": -4.83, "spacegroup": "P4/mbm (127)", "polymorph_energy_mev_per_atom": 109, "cell": [[7.042, 0.000, 0.000], [0.000, 7.042, 0.000], [0.000, 0.000, 3.246]], "species": ["Ga", "V", "Ga", "Ga", "Zr", "Zr", "V", "Ga", "V", "V"], "frac_coords": [[0.625, 0.125, 0.000], [0.326, 0.174, 0.500], [0.875, 0.625, 0.000], [0.125, 0.375, 0.000], [0.500, 0.500, 0.000], [0.000, 0.000, 0.000], [0.674, 0.826, 0.500], [0.375, 0.875, 0.000], [0.174, 0.674, 0.500], [0.826, 0.326, 0.500]]}

***

2.
{"formula": "SmHfSc3", "functional": "PBE-GGA", "state": "relaxed", "n_ef_per_ev_cell": 16.724, "delta_e_f_kcal_per_mol_atoms": 2.95, "spacegroup": "C2/m (12)", "polymorph_energy_mev_per_atom": 34, "cell": [[-5.987, -1.188, -2.396], [5.029, -2.753, -2.230], [-1.888, -3.948, 6.675]], "species": ["Hf", "Sc", "Sc", "Hf", "Sc", "Sc", "Sm", "Sm", "Sc", "Sc"], "frac_coords": [[0.139, 0.278, 0.096], [0.705, 0.898, 0.283], [0.261, 0.521, 0.483], [0.861, 0.722, 0.904], [0.295, 0.102, 0.717], [0.807, 0.102, 0.717], [0.342, 0.684, 0.899], [0.658, 0.316, 0.101], [0.739, 0.479, 0.517], [0.193, 0.898, 0.283]]}

***

3.
{"formula": "BaNaCd2H6", "functional": "PBE-GGA", "state": "relaxed", "n_ef_per_ev_cell": 1.291, "total_energy_ev_per_atom": -2.551, "spacegroup": "R-3 (148)", "cell": [[5.492, 0.000, 0.000], [2.746, 4.756, 0.000], [2.746, 1.585, 6.133]], "species": ["Cd", "H", "H", "H", "Ba", "H", "H", "Cd", "H", "Na"], "frac_coords": [[0.234, 0.234, 0.297], [0.902, 0.497, 0.221], [0.620, 0.098, 0.779], [0.497, 0.380, 0.221], [0.000, 0.000, 0.000], [0.380, 0.902, 0.221], [0.503, 0.620, 0.779], [0.766, 0.766, 0.703], [0.098, 0.503, 0.779], [0.500, 0.500, 0.500]]}

***

4.
{"formula": "Rb3CePr2Te6", "functional": "PBE-GGA", "state": "relaxed", "n_ef_per_ev_cell": 8.518, "e_form_raw_ev_per_atom": -1.38, "spacegroup": "C2/m (12)", "cell": [[-6.444, -1.067, 4.821], [5.598, -5.843, -0.644], [4.615, 5.733, 5.160]], "species": ["Rb", "Pr", "Te", "Pr", "Rb", "Te", "Ce", "Te", "Te", "Rb", "Te", "Te"], "frac_coords": [[0.500, 0.500, 0.500], [0.333, 0.667, 0.000], [0.736, 0.736, 0.206], [0.667, 0.333, 0.000], [0.167, 0.833, 0.500], [0.401, 0.068, 0.205], [0.000, 0.000, 0.000], [0.932, 0.599, 0.795], [0.068, 0.401, 0.205], [0.833, 0.167, 0.500], [0.599, 0.932, 0.795], [0.264, 0.264, 0.794]]}

***

5.
{"formula": "VGaFe2Tc", "functional": "PBE-GGA", "state": "relaxed", "n_ef_per_ev_cell": 6.529, "delta_e_f_kcal_per_mol_atoms": 32.79, "spacegroup": "P4/mmm (123)", "cell": [[4.239, 0.000, 0.000], [0.000, 4.502, 0.000], [0.000, 0.000, 4.239]], "species": ["Fe", "Ga", "Fe", "V", "Tc"], "frac_coords": [[0.500, 0.000, 0.000], [0.000, 0.000, 0.000], [0.000, 0.000, 0.500], [0.000, 0.500, 0.000], [0.500, 0.500, 0.500]]}

***

6.
{"formula": "BaScTe", "functional": "PBE-GGA", "state": "relaxed", "n_ef_per_ev_cell": 7.649, "e_form_raw_ev_per_atom": 0.16, "spacegroup": "F-43m (216)", "polymorph_energy_mev_per_atom": 846, "cell": [[-4.560, -2.516, 2.252], [-1.876, -4.911, -2.136], [0.585, -4.796, 2.976]], "species": ["Ba", "Te", "Sc"], "frac_coords": [[0.750, 0.750, 0.750], [0.500, 0.500, 0.500], [0.000, 0.000, 0.000]]}

***

Total magnetization list, top to bottom, in Bohr magnetons per cell: 0.00; 0.07; 0.00; 1.02; 0.23; 1.66